No. 1
A plane-wave DFT calculation with GGA-PBEsol was carried out for crystalline MnPt4 at its relaxed geometry.

Unit cell a=3.9095 b=4.7502 c=4.7502 alpha=80.25 beta=65.70 gamma=65.70
Each line ends with the local moment (μB).
Element x y z (fractional)
Pt 0.7994 0.5981 0.8031  0.09
Pt 0.2006 0.4019 0.1969  0.09
Pt 0.3975 0.8031 0.4019  0.09
Pt 0.6025 0.1969 0.5981  0.09
Mn 0.0000 0.0000 0.0000  3.63

Computed properties:
Energy relative to the elements ... -0.16 eV/atom
N(E_F) ... 7.10 states/eV/f.u.
Total moment ... 4.152 Bohr magnetons per cell
Raw total energy ... -7.6815 eV per atom

No. 2
A plane-wave DFT calculation with GGA-PBEsol was carried out for crystalline Na2AgAs2 at its relaxed geometry.

Unit cell a=4.6914 b=6.7275 c=6.7275 alpha=90.00 beta=90.00 gamma=90.00
Element x y z (fractional)
Ag 0.0000 0.0000 0.0000
Ag 0.0000 0.5000 0.5000
As 0.0000 0.3692 0.8692
As 0.0000 0.1308 0.3692
As 0.0000 0.6308 0.1308
As 0.0000 0.8692 0.6308
Na 0.5000 0.1724 0.6724
Na 0.5000 0.3276 0.1724
Na 0.5000 0.6724 0.8276
Na 0.5000 0.8276 0.3276

Computed properties:
Energy relative to the elements ... -0.28 eV/atom
N(E_F) ... 1.63 states/eV/f.u.
Total moment ... 0.000 Bohr magnetons per cell
Raw total energy ... -3.5427 eV per atom

No. 3
A plane-wave DFT calculation with GGA-PBEsol was carried out for crystalline SbP2Cl at its relaxed geometry.

Unit cell a=4.6806 b=4.6806 c=4.6806 alpha=60.00 beta=60.00 gamma=60.00
Element x y z (fractional)
Sb 0.2500 0.2500 0.2500
P 0.0000 0.0000 0.0000
P 0.7500 0.7500 0.7500
Cl 0.5000 0.5000 0.5000

Computed properties:
Energy relative to the lowest polymorph listed for this composition ... 10.1 kJ per mole of atoms
N(E_F) ... 2.72 states/eV/f.u.
Total moment ... 0.001 Bohr magnetons per cell
Raw total energy ... -4.1151 eV per atom

No. 4
A plane-wave DFT calculation with GGA-PBEsol was carried out for crystalline YTe2Se at its relaxed geometry.

Unit cell a=4.3527 b=4.3527 c=6.1723 alpha=110.65 beta=110.65 gamma=90.00
Element x y z (fractional)
Te 0.0000 0.0000 0.0000
Te 0.7500 0.2500 0.5000
Se 0.2500 0.7500 0.5000
Y 0.5000 0.5000 0.0000

Computed properties:
N(E_F) ... 1.47 states/eV/f.u.
Total moment ... 0.000 Bohr magnetons per cell
Raw total energy ... -5.1079 eV per atom

No. 5
A plane-wave DFT calculation with GGA-PBEsol was carried out for crystalline MgAlTl2 at its relaxed geometry.

Unit cell a=3.2845 b=4.4201 c=6.5001 alpha=90.00 beta=90.00 gamma=90.00
Element x y z (fractional)
Mg 0.5000 0.5000 0.7371
Tl 0.5000 0.5000 0.2696
Tl 0.0000 0.0000 0.9832
Al 0.0000 0.0000 0.5102

Computed properties:
Energy relative to the lowest polymorph listed for this composition ... 0.0 kJ per mole of atoms
Energy relative to the elements ... 0.10 eV/atom
N(E_F) ... 1.60 states/eV/f.u.
Total moment ... 0.000 Bohr magnetons per cell
Raw total energy ... -2.6684 eV per atom

No. 6
A plane-wave DFT calculation with GGA-PBEsol was carried out for crystalline Al8Rh at its relaxed geometry.

Unit cell a=3.9516 b=6.2347 c=6.2347 alpha=84.24 beta=71.52 gamma=71.52
Element x y z (fractional)
Rh 0.0000 0.0000 0.0000
Al 0.6743 0.3257 0.3257
Al 0.6604 0.0000 0.6792
Al 0.0000 0.6743 0.3257
Al 0.6604 0.6792 0.0000
Al 0.3396 0.3208 0.0000
Al 0.3396 0.0000 0.3208
Al 0.3257 0.6743 0.6743
Al 0.0000 0.3257 0.6743

Computed properties:
Energy relative to the elements ... -0.21 eV/atom
N(E_F) ... 4.67 states/eV/f.u.
Total moment ... 0.000 Bohr magnetons per cell
Raw total energy ... -4.7530 eV per atom